Density functional theory data (GGA-PBE) for a relaxed structure of Zr2CdPt.

The structure in POSCAR format:
```
Zr2CdPt
1.0
-3.000 -2.074 5.932
4.225 -2.359 -2.017
1.534 0.606 2.506
Zr Cd Pt
2 1 1
Direct
0.500 0.000 0.500 Zr
0.000 0.000 0.000 Zr
0.000 0.500 0.500 Cd
0.500 0.500 0.000 Pt
```

Formation energy, eV per formula unit: -1.8
V, Å³ per cell: 79.1
VASP energy, eV per cell: -25.8